# SrTiTe2I

A relaxed SrTiTe2I crystal (GGA-PBE, Alexandria).

a = 5.475 Å, b = 5.475 Å, c = 5.643 Å
α = 90.00°, β = 90.00°, γ = 90.00°
Space group P4/mmm (No. 123)
Asymmetric unit:
1 Sr 0.000 0.000 0.000
2 Ti 0.500 0.500 0.500
3 Te 0.000 0.500 0.500
4 I 0.500 0.500 0.000

Output
Excess energy over the best structure of this formula in the dataset   0.0 meV per atom
Total moment   0.201 μB per atom
VASP energy   -21.4 eV/cell
D(E_F)   2.99 states/eV/cell
Formation energy from raw total energies   -0.81 eV per atom



# ZnTcP2

A relaxed ZnTcP2 crystal (GGA-PBE, Alexandria).

a = 3.1247 Å, b = 3.1247 Å, c = 21.3432 Å
α = 90.00°, β = 90.00°, γ = 120.00°
Space group R-3m (No. 166, hexagonal axes)
Asymmetric unit:
1 Zn 0.0000 0.0000 0.0000
2 Tc 0.0000 0.0000 0.5000
3 P 0.0000 0.0000 0.2439

Output
Total moment   0.000 μB per atom
VASP energy   -68.8 eV/cell
Energy relative to the elements   -0.121 eV per atom
D(E_F)   7.03 states/eV/cell